--- P ---
{"formula": "DyBeRh", "functional": "PBE", "state": "optimized geometry", "lattice_angstrom": [[6.796, 0.000, 0.000], [0.000, 4.175, 0.000], [0.000, 0.000, 7.112]], "species": ["Dy", "Dy", "Dy", "Dy", "Be", "Be", "Be", "Be", "Rh", "Rh", "Rh", "Rh"], "fractional_positions": [[0.007, 0.250, 0.194], [0.493, 0.750, 0.694], [0.507, 0.250, 0.306], [0.993, 0.750, 0.806], [0.180, 0.250, 0.591], [0.320, 0.750, 0.091], [0.680, 0.250, 0.909], [0.820, 0.750, 0.409], [0.173, 0.750, 0.427], [0.327, 0.250, 0.927], [0.673, 0.750, 0.073], [0.827, 0.250, 0.573]], "spacegroup": "Pnma, No. 62", "total_magnetization_mub_per_atom": 0.000}

***

--- Q ---
{"formula": "DyBeRh", "functional": "PBE", "state": "optimized geometry", "lattice_angstrom": [[-2.490, 2.781, 3.499], [2.490, -2.781, 3.499], [2.490, 2.781, -3.499]], "species": ["Dy", "Dy", "Be", "Be", "Rh", "Rh"], "fractional_positions": [[0.374, 0.124, 0.250], [0.626, 0.876, 0.750], [0.000, 0.000, 0.500], [0.000, 0.500, 0.000], [0.000, 0.500, 0.500], [0.500, 0.500, 0.000]], "spacegroup": "Imma, No. 74", "total_magnetization_mub_per_atom": 0.000}

***

--- R ---
{"formula": "DyBeRh", "functional": "PBE", "state": "optimized geometry", "lattice_angstrom": [[6.370, 0.000, 0.000], [0.000, 6.370, 0.000], [0.000, 0.000, 5.700]], "species": ["Dy", "Dy", "Dy", "Dy", "Be", "Be", "Be", "Be", "Rh", "Rh", "Rh", "Rh"], "fractional_positions": [[0.224, 0.224, 0.000], [0.276, 0.724, 0.250], [0.724, 0.276, 0.750], [0.776, 0.776, 0.500], [0.094, 0.094, 0.500], [0.406, 0.594, 0.750], [0.594, 0.406, 0.250], [0.906, 0.906, 0.000], [0.160, 0.840, 0.750], [0.340, 0.340, 0.500], [0.660, 0.660, 0.000], [0.840, 0.160, 0.250]], "spacegroup": "P4_12_12, No. 92", "total_magnetization_mub_per_atom": 0.000}

***

--- S ---
{"formula": "DyBeRh", "functional": "PBE", "state": "optimized geometry", "lattice_angstrom": [[3.922, 0.000, 0.000], [-1.961, 3.396, 0.000], [0.000, 0.000, 3.966]], "species": ["Dy", "Be", "Rh"], "fractional_positions": [[0.000, 0.000, 0.000], [0.333, 0.667, 0.500], [0.667, 0.333, 0.500]], "spacegroup": "P-6m2, No. 187", "total_magnetization_mub_per_atom": 0.000}

***

Most stable = P

***

--- P ---
{"formula": "DyBeRu", "functional": "PBE", "state": "optimized geometry", "lattice_angstrom": [[6.868, 0.000, 0.000], [0.000, 4.136, 0.000], [0.000, 0.000, 7.030]], "species": ["Dy", "Dy", "Dy", "Dy", "Be", "Be", "Be", "Be", "Ru", "Ru", "Ru", "Ru"], "fractional_positions": [[0.005, 0.250, 0.197], [0.495, 0.750, 0.697], [0.505, 0.250, 0.303], [0.995, 0.750, 0.803], [0.185, 0.250, 0.591], [0.315, 0.750, 0.091], [0.685, 0.250, 0.909], [0.815, 0.750, 0.409], [0.169, 0.750, 0.428], [0.331, 0.250, 0.928], [0.669, 0.750, 0.072], [0.831, 0.250, 0.572]], "spacegroup": "Pnma, No. 62", "total_magnetization_mub_per_atom": 0.000}

***

--- Q ---
{"formula": "DyBeRu", "functional": "PBE", "state": "optimized geometry", "lattice_angstrom": [[1.914, 1.105, 4.308], [-1.914, 1.105, 4.308], [0.000, -2.210, 4.308]], "species": ["Dy", "Be", "Ru"], "fractional_positions": [[0.000, 0.000, 0.000], [0.794, 0.794, 0.794], [0.490, 0.490, 0.490]], "spacegroup": "R3m, No. 160", "total_magnetization_mub_per_atom": 0.000}

***

--- R ---
{"formula": "DyBeRu", "functional": "PBE", "state": "optimized geometry", "lattice_angstrom": [[3.979, 0.000, 0.000], [-1.990, 3.446, 0.000], [0.000, 0.000, 3.787]], "species": ["Dy", "Be", "Ru"], "fractional_positions": [[0.000, 0.000, 0.000], [0.667, 0.333, 0.500], [0.333, 0.667, 0.500]], "spacegroup": "P-6m2, No. 187", "total_magnetization_mub_per_atom": 0.000}

***

--- S ---
{"formula": "DyBeRu", "functional": "PBE", "state": "optimized geometry", "lattice_angstrom": [[-2.584, 2.648, 3.554], [2.584, -2.648, 3.554], [2.584, 2.648, -3.554]], "species": ["Dy", "Dy", "Be", "Be", "Ru", "Ru"], "fractional_positions": [[0.379, 0.129, 0.250], [0.621, 0.871, 0.750], [0.000, 0.000, 0.500], [0.000, 0.500, 0.000], [0.000, 0.500, 0.500], [0.500, 0.500, 0.000]], "spacegroup": "Imma, No. 74", "total_magnetization_mub_per_atom": 0.000}

***

Most stable = P